(i)
! TlIn2W PBE optimized geometry; values from VASP
&SYSTEM
  ibrav = 0, nat = 4, ntyp = 3
/
ATOMIC_SPECIES
Tl 204.38 Tl.upf
In 114.82 In.upf
W 183.84 W.upf
ATOMIC_POSITIONS angstrom
Tl 0.0000 0.0000 0.0000
In 0.0000 0.0000 2.8569
In 1.8878 1.8878 4.4941
W 1.8878 1.8878 1.5379
CELL_PARAMETERS angstrom
3.7755 0.0000 0.0000
0.0000 3.7755 0.0000
0.0000 0.0000 6.0585
! size of the total moment	0.000	Bohr magnetons per cell
! Fermi-level density of states	2.13	states/eV/cell

(ii)
! TlIn2W PBE optimized geometry; values from VASP
&SYSTEM
  ibrav = 0, nat = 4, ntyp = 3
/
ATOMIC_SPECIES
Tl 204.38 Tl.upf
In 114.82 In.upf
W 183.84 W.upf
ATOMIC_POSITIONS angstrom
Tl 0.0000 0.0000 0.0000
In 1.8043 1.8043 1.8043
In 5.4128 5.4128 5.4128
W 3.6085 3.6085 3.6085
CELL_PARAMETERS angstrom
0.0000 3.6085 3.6085
3.6085 0.0000 3.6085
3.6085 3.6085 0.0000
! size of the total moment	2.566	Bohr magnetons per cell
! Fermi-level density of states	2.94	states/eV/cell

(iii)
! TlIn2W PBE optimized geometry; values from VASP
&SYSTEM
  ibrav = 0, nat = 4, ntyp = 3
/
ATOMIC_SPECIES
Tl 204.38 Tl.upf
In 114.82 In.upf
W 183.84 W.upf
ATOMIC_POSITIONS angstrom
Tl 0.0000 0.0000 0.0000
In 1.4703 0.0000 4.4228
In 0.0000 0.0000 8.9514
W 0.0000 2.4325 4.3839
CELL_PARAMETERS angstrom
-1.4703 2.4325 7.0520
1.4703 -2.4325 7.0520
1.4703 2.4325 -7.0520
! size of the total moment	0.285	Bohr magnetons per cell
! Fermi-level density of states	2.83	states/eV/cell

(iv)
! TlIn2W PBE optimized geometry; values from VASP
&SYSTEM
  ibrav = 0, nat = 4, ntyp = 3
/
ATOMIC_SPECIES
Tl 204.38 Tl.upf
In 114.82 In.upf
W 183.84 W.upf
ATOMIC_POSITIONS angstrom
Tl 0.0000 0.0000 0.0000
In 0.0000 0.0000 17.3056
In 0.0000 0.0000 25.5977
W 0.0000 0.0000 8.5414
CELL_PARAMETERS angstrom
1.5458 0.8925 11.1205
-1.5458 0.8925 11.1205
0.0000 -1.7849 11.1205
! size of the total moment	0.000	Bohr magnetons per cell
! Fermi-level density of states	2.95	states/eV/cell

Energies relative to the minimum, kJ/mol of atoms: (i) 18.3; (ii) 45.6; (iii) 0.0; (iv) 6.3

(i)
! TlIn2W PBE optimized geometry; values from VASP
&SYSTEM
  ibrav = 0, nat = 4, ntyp = 3
/
ATOMIC_SPECIES
Tl 204.38 Tl.upf
In 114.82 In.upf
W 183.84 W.upf
ATOMIC_POSITIONS angstrom
Tl 0.0000 0.0000 0.0000
In 0.0000 0.0000 2.8388
In 1.5285 2.4124 4.5467
W 1.5285 2.4124 1.6557
CELL_PARAMETERS angstrom
3.0571 0.0000 0.0000
0.0000 4.8247 0.0000
0.0000 0.0000 5.9275
! size of the total moment	0.000	Bohr magnetons per cell
! Fermi-level density of states	1.60	states/eV/cell

(ii)
! TlIn2W PBE optimized geometry; values from VASP
&SYSTEM
  ibrav = 0, nat = 4, ntyp = 3
/
ATOMIC_SPECIES
Tl 204.38 Tl.upf
In 114.82 In.upf
W 183.84 W.upf
ATOMIC_POSITIONS angstrom
Tl 0.0000 0.0000 0.0000
In 1.5613 2.2336 1.5344
In 1.5613 -2.2336 1.5344
W 3.1334 0.0000 0.0000
CELL_PARAMETERS angstrom
3.1334 -4.4673 0.0000
3.1334 4.4673 0.0000
-0.0109 0.0000 3.0689
! size of the total moment	0.000	Bohr magnetons per cell
! Fermi-level density of states	2.94	states/eV/cell

(iii)
! TlIn2W PBE optimized geometry; values from VASP
&SYSTEM
  ibrav = 0, nat = 4, ntyp = 3
/
ATOMIC_SPECIES
Tl 204.38 Tl.upf
In 114.82 In.upf
W 183.84 W.upf
ATOMIC_POSITIONS angstrom
Tl 0.0000 0.0000 0.0000
In -0.9269 1.5336 2.5715
In 1.7991 0.0000 2.5715
W 2.7260 1.5336 0.0000
CELL_PARAMETERS angstrom
5.4520 0.0000 0.0000
0.0000 3.0672 0.0000
-1.8539 0.0000 5.1430
! size of the total moment	0.000	Bohr magnetons per cell
! Fermi-level density of states	2.83	states/eV/cell

Energies relative to the minimum, kJ/mol of atoms: (i) 0.0; (ii) 1.5; (iii) 6.2

(i)
! TlIn2W PBE optimized geometry; values from VASP
&SYSTEM
  ibrav = 0, nat = 4, ntyp = 3
/
ATOMIC_SPECIES
Tl 204.38 Tl.upf
In 114.82 In.upf
W 183.84 W.upf
ATOMIC_POSITIONS angstrom
Tl 0.0000 0.0000 0.0000
In 1.4867 1.4867 3.0531
In 1.4867 1.4867 7.4640
W 0.0000 0.0000 5.2585
CELL_PARAMETERS angstrom
2.9734 0.0000 0.0000
0.0000 2.9734 0.0000
0.0000 0.0000 10.5171
! size of the total moment	0.000	Bohr magnetons per cell
! Fermi-level density of states	2.08	states/eV/cell

(ii)
! TlIn2W PBE optimized geometry; values from VASP
&SYSTEM
  ibrav = 0, nat = 4, ntyp = 3
/
ATOMIC_SPECIES
Tl 204.38 Tl.upf
In 114.82 In.upf
W 183.84 W.upf
ATOMIC_POSITIONS angstrom
Tl 0.0000 0.0000 0.0000
In 1.4582 0.0000 4.2732
In 0.0000 2.4855 2.5365
W 0.0000 0.0000 6.8097
CELL_PARAMETERS angstrom
-1.4582 2.4855 6.8097
1.4582 -2.4855 6.8097
1.4582 2.4855 -6.8097
! size of the total moment	0.269	Bohr magnetons per cell
! Fermi-level density of states	3.02	states/eV/cell

(iii)
! TlIn2W PBE optimized geometry; values from VASP
&SYSTEM
  ibrav = 0, nat = 4, ntyp = 3
/
ATOMIC_SPECIES
Tl 204.38 Tl.upf
In 114.82 In.upf
W 183.84 W.upf
ATOMIC_POSITIONS angstrom
Tl 0.0000 0.0000 0.0000
In 1.8700 1.8700 1.6717
In 1.8700 1.8700 4.4932
W 0.0000 0.0000 3.0825
CELL_PARAMETERS angstrom
3.7400 0.0000 0.0000
0.0000 3.7400 0.0000
0.0000 0.0000 6.1649
! size of the total moment	0.000	Bohr magnetons per cell
! Fermi-level density of states	2.30	states/eV/cell

Energies relative to the minimum, kJ/mol of atoms: (i) 0.0; (ii) 4.0; (iii) 12.3

(i)
! TlIn2W PBE optimized geometry; values from VASP
&SYSTEM
  ibrav = 0, nat = 4, ntyp = 3
/
ATOMIC_SPECIES
Tl 204.38 Tl.upf
In 114.82 In.upf
W 183.84 W.upf
ATOMIC_POSITIONS angstrom
Tl 0.0000 0.0000 0.0000
In 0.0000 2.6641 2.6861
In 1.5334 0.0000 2.6861
W 1.5334 2.6641 0.0000
CELL_PARAMETERS angstrom
3.0669 0.0000 0.0000
0.0000 5.3283 0.0000
0.0000 0.0000 5.3722
! size of the total moment	0.000	Bohr magnetons per cell
! Fermi-level density of states	2.71	states/eV/cell

(ii)
! TlIn2W PBE optimized geometry; values from VASP
&SYSTEM
  ibrav = 0, nat = 4, ntyp = 3
/
ATOMIC_SPECIES
Tl 204.38 Tl.upf
In 114.82 In.upf
W 183.84 W.upf
ATOMIC_POSITIONS angstrom
Tl 0.0000 0.0000 0.0000
In 0.0000 0.0000 6.1468
In 1.7847 0.0000 3.2723
W 1.7847 0.0000 8.4055
CELL_PARAMETERS angstrom
1.7847 -2.4007 0.0000
1.7847 2.4007 0.0000
0.0000 0.0000 10.9135
! size of the total moment	0.000	Bohr magnetons per cell
! Fermi-level density of states	1.22	states/eV/cell

Energies relative to the minimum, kJ/mol of atoms: (i) 17.8; (ii) 0.0

(i)
! TlIn2W PBE optimized geometry; values from VASP
&SYSTEM
  ibrav = 0, nat = 4, ntyp = 3
/
ATOMIC_SPECIES
Tl 204.38 Tl.upf
In 114.82 In.upf
W 183.84 W.upf
ATOMIC_POSITIONS angstrom
Tl 0.0000 0.0000 0.0000
In 1.9652 0.0000 2.4357
In 0.0000 2.3070 2.2563
W 0.0000 0.0000 4.6920
CELL_PARAMETERS angstrom
-1.9652 2.3070 4.6920
1.9652 -2.3070 4.6920
1.9652 2.3070 -4.6920
! size of the total moment	0.000	Bohr magnetons per cell
! Fermi-level density of states	2.31	states/eV/cell

(ii)
! TlIn2W PBE optimized geometry; values from VASP
&SYSTEM
  ibrav = 0, nat = 4, ntyp = 3
/
ATOMIC_SPECIES
Tl 204.38 Tl.upf
In 114.82 In.upf
W 183.84 W.upf
ATOMIC_POSITIONS angstrom
Tl 0.0000 0.0000 0.0000
In 0.0000 0.0000 7.8109
In 0.0000 0.0000 24.8041
W 0.0000 0.0000 16.3075
CELL_PARAMETERS angstrom
1.5543 0.8974 10.8717
-1.5543 0.8974 10.8717
0.0000 -1.7948 10.8717
! size of the total moment	0.000	Bohr magnetons per cell
! Fermi-level density of states	2.78	states/eV/cell

Energies relative to the minimum, kJ/mol of atoms: (i) 21.9; (ii) 0.0

(i)
! TlIn2W PBE optimized geometry; values from VASP
&SYSTEM
  ibrav = 0, nat = 4, ntyp = 3
/
ATOMIC_SPECIES
Tl 204.38 Tl.upf
In 114.82 In.upf
W 183.84 W.upf
ATOMIC_POSITIONS angstrom
Tl 0.0000 0.0000 0.0000
In 3.5901 3.5901 3.5901
In 5.3851 5.3851 5.3851
W 1.7950 1.7950 1.7950
CELL_PARAMETERS angstrom
0.0000 3.5901 3.5901
3.5901 0.0000 3.5901
3.5901 3.5901 0.0000
! size of the total moment	2.255	Bohr magnetons per cell
! Fermi-level density of states	3.55	states/eV/cell

(ii)
! TlIn2W PBE optimized geometry; values from VASP
&SYSTEM
  ibrav = 0, nat = 4, ntyp = 3
/
ATOMIC_SPECIES
Tl 204.38 Tl.upf
In 114.82 In.upf
W 183.84 W.upf
ATOMIC_POSITIONS angstrom
Tl 0.0000 0.0000 0.0000
In 0.0000 0.0000 4.6162
In 1.4815 1.4815 7.4408
W 1.4815 1.4815 2.4444
CELL_PARAMETERS angstrom
2.9631 0.0000 0.0000
0.0000 2.9631 0.0000
0.0000 0.0000 10.7057
! size of the total moment	0.000	Bohr magnetons per cell
! Fermi-level density of states	1.58	states/eV/cell

Energies relative to the minimum, kJ/mol of atoms: (i) 40.2; (ii) 0.0